# 1
VASP calculation (PBE-GGA) on crystalline La3TbDy6Ho2 at its relaxed geometry.

Properties
Energy of formation from the pure elements = 0.02 eV/atom
Fermi-level density of states = 33.5 states/eV/cell

Cell lengths 6.2264, 10.7894, 11.8775 Å; angles 90.00, 100.07, 90.00 degrees
Last column: nearest neighbours and their distance in Å.
Space group C2/m (No. 12)
Unique sites:
La  0.0000  0.0000  0.0000  6 La 3.59-3.60, 6 Dy 3.64
La  0.0000  0.3332  0.0000  6 La 3.59-3.60, 6 Dy 3.64
Tb  0.0000  0.5000  0.5000  6 Dy 3.53, 6 Ho 3.60
Dy  0.2477  0.0000  0.7442  2 Ho 3.53, 1 Tb 3.53, 6 Dy 3.59-3.60, 3 La 3.64
Dy  0.2480  0.3332  0.7441  2 Ho 3.53, 1 Tb 3.53, 6 Dy 3.59-3.60, 3 La 3.64
Ho  0.0000  0.1667  0.5000  6 Dy 3.53, 3 Ho 3.59-3.60, 3 Tb 3.60

***

# 2
VASP calculation (PBE-GGA) on crystalline Cd5GaAu6 at its relaxed geometry.

Properties
Energy of formation from the pure elements = -0.17 eV/atom
Fermi-level density of states = 4.2 states/eV/cell

Cell lengths 14.5388, 7.0408, 4.7203 Å; angles 90.00, 107.92, 90.00 degrees
Last column: nearest neighbours and their distance in Å.
Space group C2/m (No. 12)
Unique sites:
Cd  0.0000  0.0000  0.0000  8 Au 2.88-3.09, 2 Cd 3.15
Cd  0.1590  0.0000  0.6729  8 Au 2.97-3.09, 4 Cd 3.08-3.30
Cd  0.1863  0.5000  0.7115  8 Au 2.89-3.00, 1 Cd 3.08
Ga  0.0000  0.5000  0.0000  8 Au 2.70-2.81
Au  0.0000  0.2832  0.5000  2 Ga 2.81, 6 Cd 2.97-3.09, 3 Au 3.05-3.08
Au  0.1560  0.2706  0.1840  1 Ga 2.70, 5 Cd 2.88-2.98

***

Look up the Fermi-level density of states of the first one. 33.5 states/eV/cell